[1]
## ZnHgIr (PBE)

Data for a relaxed ZnHgIr crystal.

Computed properties:
* space-group type: F-43m
* total moment: 0.00 μB/f.u.
* energy: -9.36 eV for the cell shown
* formation enthalpy at 0 K: 357.3 meV/atom
* distance to the lowest polymorph of the same formula: 180 meV per atom
* volume: 59.9 Å³/cell
* DOS(E_F): 0.61 states/eV per cell

Lattice parameters (Å, degrees): 4.391 4.391 4.391 60.00 60.00 60.00
Fractional positions:
1 Zn 0.000 0.000 0.000
2 Hg 0.500 0.500 0.500
3 Ir 0.250 0.250 0.250

---

[2]
## RbHfTe2I (PBE)

Data for a relaxed RbHfTe2I crystal.

Computed properties:
* space-group type: P4/mmm
* total moment: 0.00 μB/f.u.
* formation energy without anion corrections: 1.225 eV/atom
* energy: -12.63 eV for the cell shown
* distance to the lowest polymorph of the same formula: 2038 meV per atom
* volume: 225.8 Å³/cell
* DOS(E_F): 8.87 states/eV per cell

Lattice parameters (Å, degrees): 6.074 6.074 6.120 90.00 90.00 90.00
Fractional positions:
1 Rb 0.000 0.000 0.000
2 Hf 0.500 0.500 0.500
3 Te 0.000 0.500 0.000
4 Te 0.500 0.000 0.000
5 I 0.000 0.000 0.500

---

[3]
## Ba2VB4 (PBE)

Data for a relaxed Ba2VB4 crystal.

Computed properties:
* space-group type: I4/mmm
* total moment: 0.00 μB/f.u.
* energy: -34.97 eV for the cell shown
* formation enthalpy at 0 K: 672.3 meV/atom
* volume: 142.8 Å³/cell
* DOS(E_F): 3.97 states/eV per cell

Lattice parameters (Å, degrees): 8.428 8.428 8.428 150.72 150.72 41.88
Fractional positions:
1 Ba 0.146 0.146 0.000
2 Ba 0.854 0.854 0.000
3 V 0.500 0.500 0.000
4 B 0.000 0.500 0.500
5 B 0.376 0.376 0.000
6 B 0.500 0.000 0.500
7 B 0.624 0.624 0.000

---

[4]
## CaUCuS4 (PBE)

Data for a relaxed CaUCuS4 crystal.

Computed properties:
* space-group type: P2_1/m
* total moment: 1.01 μB/f.u.
* formation energy without anion corrections: -1.227 eV/atom
* energy: -84.97 eV for the cell shown
* volume: 292.5 Å³/cell
* DOS(E_F): 11.01 states/eV per cell

Lattice parameters (Å, degrees): 6.281 6.310 7.707 90.00 106.71 90.00
Fractional positions:
1 Ca 0.234 0.250 0.053
2 Ca 0.766 0.750 0.947
3 U 0.230 0.250 0.557
4 U 0.770 0.750 0.443
5 Cu 0.240 0.750 0.327
6 Cu 0.760 0.250 0.673
7 S 0.018 0.513 0.733
8 S 0.018 0.987 0.733
9 S 0.453 0.750 0.136
10 S 0.461 0.750 0.611
11 S 0.539 0.250 0.389
12 S 0.547 0.250 0.864
13 S 0.982 0.013 0.267
14 S 0.982 0.487 0.267

---

[5]
## Ca2InOsO8 (PBE)

Data for a relaxed Ca2InOsO8 crystal.

Computed properties:
* space-group type: Cmmm
* total moment: 1.06 μB/f.u.
* formation energy without anion corrections: -1.582 eV/atom
* energy: -76.63 eV for the cell shown
* volume: 174.6 Å³/cell
* DOS(E_F): 6.94 states/eV per cell

Lattice parameters (Å, degrees): 5.045 5.045 6.865 90.00 90.00 92.71
Fractional positions:
1 Ca 0.000 0.000 0.249
2 Ca 0.000 0.000 0.751
3 In 0.500 0.500 0.500
4 Os 0.500 0.500 0.000
5 O 0.214 0.214 0.500
6 O 0.232 0.232 0.000
7 O 0.323 0.677 0.198
8 O 0.323 0.677 0.802
9 O 0.677 0.323 0.198
10 O 0.677 0.323 0.802
11 O 0.768 0.768 0.000
12 O 0.786 0.786 0.500

---

[6]
## Pm2DyOsN4 (PBE)

Data for a relaxed Pm2DyOsN4 crystal.

Computed properties:
* space-group type: Cmcm
* total moment: 0.00 μB/f.u.
* formation energy without anion corrections: -0.819 eV/atom
* energy: -130.38 eV for the cell shown
* volume: 245.7 Å³/cell
* DOS(E_F): 2.68 states/eV per cell

Lattice parameters (Å, degrees): 6.173 6.173 12.068 90.00 90.00 147.71
Fractional positions:
1 Pm 0.132 0.868 0.541
2 Pm 0.132 0.868 0.959
3 Pm 0.868 0.132 0.041
4 Pm 0.868 0.132 0.459
5 Dy 0.370 0.630 0.750
6 Dy 0.630 0.370 0.250
7 Os 0.360 0.640 0.250
8 Os 0.640 0.360 0.750
9 N 0.059 0.941 0.750
10 N 0.227 0.773 0.138
11 N 0.227 0.773 0.362
12 N 0.500 0.500 0.000
13 N 0.500 0.500 0.500
14 N 0.773 0.227 0.638
15 N 0.773 0.227 0.862
16 N 0.941 0.059 0.250

---

[7]
## Hg2Pd2Se (PBE)

Data for a relaxed Hg2Pd2Se crystal.

Computed properties:
* space-group type: P4/mbm
* total moment: 0.00 μB/f.u.
* formation energy without anion corrections: 0.047 eV/atom
* energy: -28.48 eV for the cell shown
* distance to the lowest polymorph of the same formula: 110 meV per atom
* volume: 199.2 Å³/cell
* DOS(E_F): 3.45 states/eV per cell

Lattice parameters (Å, degrees): 8.173 8.173 2.983 90.00 90.00 90.00
Fractional positions:
1 Hg 0.167 0.333 0.000
2 Hg 0.333 0.833 0.000
3 Hg 0.667 0.167 0.000
4 Hg 0.833 0.667 0.000
5 Pd 0.126 0.626 0.500
6 Pd 0.374 0.126 0.500
7 Pd 0.626 0.874 0.500
8 Pd 0.874 0.374 0.500
9 Se 0.000 0.000 0.000
10 Se 0.500 0.500 0.000

---

[8]
## Ac4ThBi5 (PBE)

Data for a relaxed Ac4ThBi5 crystal.

Computed properties:
* space-group type: I4/m
* total moment: 0.00 μB/f.u.
* energy: -52.43 eV for the cell shown
* formation enthalpy at 0 K: -916.9 meV/atom
* volume: 394.7 Å³/cell
* DOS(E_F): 3.06 states/eV per cell

Lattice parameters (Å, degrees): 8.339 8.339 8.339 99.60 99.60 131.79
Fractional positions:
1 Ac 0.096 0.698 0.795
2 Ac 0.302 0.096 0.398
3 Ac 0.698 0.904 0.602
4 Ac 0.904 0.302 0.205
5 Th 0.500 0.500 0.000
6 Bi 0.000 0.000 0.000
7 Bi 0.211 0.402 0.614
8 Bi 0.402 0.789 0.191
9 Bi 0.598 0.211 0.809
10 Bi 0.789 0.598 0.386

---

[9]
## BeCu3 (PBE)

Data for a relaxed BeCu3 crystal.

Computed properties:
* space-group type: P-6m2
* total moment: 0.00 μB/f.u.
* energy: -15.95 eV for the cell shown
* formation enthalpy at 0 K: 15.1 meV/atom
* volume: 44.1 Å³/cell
* DOS(E_F): 2.14 states/eV per cell

Lattice parameters (Å, degrees): 2.539 2.539 7.900 90.00 90.00 120.00
Fractional positions:
1 Be 0.000 0.000 0.000
2 Cu 0.000 0.000 0.500
3 Cu 0.667 0.333 0.231
4 Cu 0.667 0.333 0.769

---

[10]
## ErThCuHg (PBE)

Data for a relaxed ErThCuHg crystal.

Computed properties:
* space-group type: F-43m
* total moment: 0.61 μB/f.u.
* energy: -17.08 eV for the cell shown
* formation enthalpy at 0 K: -174.5 meV/atom
* volume: 98.6 Å³/cell
* DOS(E_F): 4.28 states/eV per cell

Lattice parameters (Å, degrees): 5.186 5.186 5.186 60.00 60.00 60.00
Fractional positions:
1 Er 0.000 0.000 0.000
2 Th 0.500 0.500 0.500
3 Cu 0.750 0.750 0.750
4 Hg 0.250 0.250 0.250

---

[11]
## Ac4Zn2Pb5 (PBE)

Data for a relaxed Ac4Zn2Pb5 crystal.

Computed properties:
* space-group type: P2/m
* total moment: 0.00 μB/f.u.
* energy: -42.41 eV for the cell shown
* formation enthalpy at 0 K: -444.1 meV/atom
* volume: 362.6 Å³/cell
* DOS(E_F): 7.55 states/eV per cell

Lattice parameters (Å, degrees): 8.034 4.799 9.405 90.00 90.19 90.00
Fractional positions:
1 Ac 0.219 0.000 0.137
2 Ac 0.255 0.000 0.618
3 Ac 0.745 0.000 0.382
4 Ac 0.781 0.000 0.863
5 Zn 0.079 0.500 0.388
6 Zn 0.921 0.500 0.612
7 Pb 0.118 0.500 0.866
8 Pb 0.426 0.500 0.346
9 Pb 0.500 0.500 0.000
10 Pb 0.574 0.500 0.654
11 Pb 0.882 0.500 0.134

---

[12]
## SrZnInNi (PBE)

Data for a relaxed SrZnInNi crystal.

Computed properties:
* space-group type: R3m
* total moment: 0.00 μB/f.u.
* energy: -12.40 eV for the cell shown
* formation enthalpy at 0 K: -232.2 meV/atom
* distance to the lowest polymorph of the same formula: 0 meV per atom
* volume: 95.6 Å³/cell
* DOS(E_F): 1.71 states/eV per cell

Lattice parameters (Å, degrees): 6.256 6.256 6.256 41.13 41.13 41.13
Fractional positions:
1 Sr 0.000 0.000 0.000
2 Zn 0.462 0.462 0.462
3 In 0.195 0.195 0.195
4 Ni 0.804 0.804 0.804

---

[13]
## TbErMgBi (PBE)

Data for a relaxed TbErMgBi crystal.

Computed properties:
* space-group type: F-43m
* total moment: 0.00 μB/f.u.
* energy: -15.81 eV for the cell shown
* formation enthalpy at 0 K: -285.3 meV/atom
* volume: 112.4 Å³/cell
* DOS(E_F): 4.56 states/eV per cell

Lattice parameters (Å, degrees): 5.417 5.417 5.417 60.00 60.00 60.00
Fractional positions:
1 Tb 0.000 0.000 0.000
2 Er 0.500 0.500 0.500
3 Mg 0.250 0.250 0.250
4 Bi 0.750 0.750 0.750

---

[14]
## CaZr2 (PBE)

Data for a relaxed CaZr2 crystal.

Computed properties:
* space-group type: C2/m
* total moment: 0.00 μB/f.u.
* energy: -36.90 eV for the cell shown
* formation enthalpy at 0 K: 215.9 meV/atom
* distance to the lowest polymorph of the same formula: 63 meV per atom
* volume: 164.8 Å³/cell
* DOS(E_F): 8.28 states/eV per cell

Lattice parameters (Å, degrees): 6.979 6.979 7.615 103.68 103.68 27.26
Fractional positions:
1 Ca 0.029 0.029 0.298
2 Ca 0.971 0.971 0.702
3 Zr 0.284 0.284 0.348
4 Zr 0.341 0.341 0.975
5 Zr 0.659 0.659 0.025
6 Zr 0.716 0.716 0.652

---

[15]
## KPbIBr2 (PBE)

Data for a relaxed KPbIBr2 crystal.

Computed properties:
* space-group type: Cmcm
* total moment: 0.00 μB/f.u.
* formation energy without anion corrections: -1.154 eV/atom
* energy: -30.94 eV for the cell shown
* distance to the lowest polymorph of the same formula: 0 meV per atom
* volume: 390.1 Å³/cell
* DOS(E_F): 0.00 states/eV per cell

Lattice parameters (Å, degrees): 7.671 7.671 11.929 90.00 90.00 146.23
Fractional positions:
1 K 0.229 0.771 0.750
2 K 0.771 0.229 0.250
3 Pb 0.000 0.000 0.000
4 Pb 0.000 0.000 0.500
5 I 0.084 0.916 0.250
6 I 0.916 0.084 0.750
7 Br 0.364 0.636 0.063
8 Br 0.364 0.636 0.437
9 Br 0.636 0.364 0.563
10 Br 0.636 0.364 0.937

---

[16]
## La2MgPa2Ru5 (PBE)

Data for a relaxed La2MgPa2Ru5 crystal.

Computed properties:
* space-group type: P4/mbm
* total moment: 0.00 μB/f.u.
* energy: -157.12 eV for the cell shown
* formation enthalpy at 0 K: -174.0 meV/atom
* volume: 416.8 Å³/cell
* DOS(E_F): 18.14 states/eV per cell

Lattice parameters (Å, degrees): 11.172 11.172 3.339 90.00 90.00 90.00
Fractional positions:
1 La 0.161 0.339 0.000
2 La 0.339 0.839 0.000
3 La 0.661 0.161 0.000
4 La 0.839 0.661 0.000
5 Mg 0.000 0.000 0.000
6 Mg 0.500 0.500 0.000
7 Pa 0.154 0.654 0.000
8 Pa 0.346 0.154 0.000
9 Pa 0.654 0.846 0.000
10 Pa 0.846 0.346 0.000
11 Ru 0.000 0.500 0.500
12 Ru 0.051 0.793 0.500
13 Ru 0.207 0.051 0.500
14 Ru 0.293 0.551 0.500
15 Ru 0.449 0.293 0.500
16 Ru 0.500 0.000 0.500
17 Ru 0.551 0.707 0.500
18 Ru 0.707 0.449 0.500
19 Ru 0.793 0.949 0.500
20 Ru 0.949 0.207 0.500

---

[17]
## La2Tb2Y4Tm (PBE)

Data for a relaxed La2Tb2Y4Tm crystal.

Computed properties:
* space-group type: C2/m
* total moment: 0.00 μB/f.u.
* energy: -49.44 eV for the cell shown
* formation enthalpy at 0 K: 0.4 meV/atom
* volume: 296.9 Å³/cell
* DOS(E_F): 13.57 states/eV per cell

Lattice parameters (Å, degrees): 9.582 9.582 9.639 115.18 115.18 21.86
Fractional positions:
1 La 0.165 0.165 0.497
2 La 0.835 0.835 0.503
3 Tb 0.353 0.353 0.837
4 Tb 0.647 0.647 0.163
5 Y 0.020 0.020 0.836
6 Y 0.315 0.315 0.164
7 Y 0.685 0.685 0.836
8 Y 0.980 0.980 0.164
9 Tm 0.500 0.500 0.500

---

[18]
## PdRhI2O (PBE)

Data for a relaxed PdRhI2O crystal.

Computed properties:
* space-group type: P4/mmm
* total moment: 0.00 μB/f.u.
* formation energy without anion corrections: 0.116 eV/atom
* energy: -20.02 eV for the cell shown
* distance to the lowest polymorph of the same formula: 0 meV per atom
* volume: 114.4 Å³/cell
* DOS(E_F): 5.46 states/eV per cell

Lattice parameters (Å, degrees): 5.560 5.560 3.702 90.00 90.00 90.00
Fractional positions:
1 Pd 0.000 0.000 0.000
2 Rh 0.500 0.500 0.500
3 I 0.000 0.500 0.500
4 I 0.500 0.000 0.500
5 O 0.500 0.500 0.000

---

[19]
## LaTb5Dy6 (PBE)

Data for a relaxed LaTb5Dy6 crystal.

Computed properties:
* space-group type: Immm
* total moment: 0.00 μB/f.u.
* energy: -54.37 eV for the cell shown
* formation enthalpy at 0 K: 110.5 meV/atom
* volume: 390.2 Å³/cell
* DOS(E_F): 21.43 states/eV per cell

Lattice parameters (Å, degrees): 10.193 10.193 10.193 146.83 137.30 55.11
Fractional positions:
1 La 0.000 0.000 0.000
2 Tb 0.154 0.654 0.500
3 Tb 0.347 0.347 0.000
4 Tb 0.500 0.000 0.500
5 Tb 0.653 0.653 0.000
6 Tb 0.846 0.346 0.500
7 Dy 0.068 0.818 0.250
8 Dy 0.252 0.500 0.752
9 Dy 0.432 0.182 0.250
10 Dy 0.568 0.818 0.750
11 Dy 0.748 0.500 0.248
12 Dy 0.932 0.182 0.750

---

[20]
## Th6Ge2As3Pb (PBE)

Data for a relaxed Th6Ge2As3Pb crystal.

Computed properties:
* space-group type: C2/m
* total moment: 0.00 μB/f.u.
* energy: -83.18 eV for the cell shown
* formation enthalpy at 0 K: -980.7 meV/atom
* volume: 344.6 Å³/cell
* DOS(E_F): 7.09 states/eV per cell

Lattice parameters (Å, degrees): 9.666 9.666 8.659 102.51 102.51 25.90
Fractional positions:
1 Th 0.002 0.002 0.265
2 Th 0.328 0.328 0.910
3 Th 0.332 0.332 0.418
4 Th 0.668 0.668 0.582
5 Th 0.672 0.672 0.090
6 Th 0.998 0.998 0.735
7 Ge 0.167 0.167 0.334
8 Ge 0.833 0.833 0.666
9 As 0.164 0.164 0.833
10 As 0.500 0.500 0.500
11 As 0.836 0.836 0.167
12 Pb 0.500 0.500 0.000

---

[21]
## SrMo2Os (PBE)

Data for a relaxed SrMo2Os crystal.

Computed properties:
* space-group type: R-3m
* total moment: 0.00 μB/f.u.
* energy: -30.98 eV for the cell shown
* formation enthalpy at 0 K: 897.8 meV/atom
* distance to the lowest polymorph of the same formula: 274 meV per atom
* volume: 73.4 Å³/cell
* DOS(E_F): 4.82 states/eV per cell

Lattice parameters (Å, degrees): 10.459 10.459 10.459 15.74 15.74 15.74
Fractional positions:
1 Sr 0.000 0.000 0.000
2 Mo 0.238 0.238 0.238
3 Mo 0.762 0.762 0.762
4 Os 0.500 0.500 0.500

---

[22]
## AgSbP2Cl (PBE)

Data for a relaxed AgSbP2Cl crystal.

Computed properties:
* space-group type: P4/mmm
* total moment: 0.00 μB/f.u.
* formation energy without anion corrections: 0.767 eV/atom
* energy: -15.80 eV for the cell shown
* distance to the lowest polymorph of the same formula: 0 meV per atom
* volume: 114.9 Å³/cell
* DOS(E_F): 3.16 states/eV per cell

Lattice parameters (Å, degrees): 4.889 4.889 4.808 90.00 90.00 90.00
Fractional positions:
1 Ag 0.000 0.000 0.000
2 Sb 0.500 0.500 0.500
3 P 0.000 0.500 0.000
4 P 0.500 0.000 0.000
5 Cl 0.000 0.000 0.500

---

[23]
## CrReRu2 (PBE)

Data for a relaxed CrReRu2 crystal.

Computed properties:
* space-group type: I-42d
* total moment: 0.95 μB/f.u.
* energy: -75.35 eV for the cell shown
* formation enthalpy at 0 K: 737.3 meV/atom
* distance to the lowest polymorph of the same formula: 670 meV per atom
* volume: 120.9 Å³/cell
* DOS(E_F): 9.93 states/eV per cell

Lattice parameters (Å, degrees): 9.029 9.029 9.029 156.08 156.08 34.09
Fractional positions:
1 Cr 0.000 0.000 0.000
2 Cr 0.750 0.250 0.500
3 Re 0.250 0.750 0.500
4 Re 0.500 0.500 0.000
5 Ru 0.105 0.625 0.980
6 Ru 0.375 0.355 0.480
7 Ru 0.645 0.125 0.020
8 Ru 0.875 0.895 0.520

---

[24]
## Rb2NpSe2Br2 (PBE)

Data for a relaxed Rb2NpSe2Br2 crystal.

Computed properties:
* space-group type: I4/mmm
* total moment: 3.00 μB/f.u.
* formation energy without anion corrections: -1.392 eV/atom
* energy: -34.94 eV for the cell shown
* volume: 267.6 Å³/cell
* DOS(E_F): 13.05 states/eV per cell

Lattice parameters (Å, degrees): 9.629 9.629 9.629 146.73 146.73 47.76
Fractional positions:
1 Rb 0.136 0.136 0.000
2 Rb 0.864 0.864 0.000
3 Np 0.500 0.500 0.000
4 Se 0.000 0.500 0.500
5 Se 0.500 0.000 0.500
6 Br 0.335 0.335 0.000
7 Br 0.665 0.665 0.000